# 1
Crystalline SmY6Er2 at its relaxed geometry. Source: Alexandria, functional GGA-PBE.

ΔE_f, eV per formula unit: 0.62
Offset from the most stable computed form, meV per atom: 0

Unit cell a=5.725 b=11.854 c=11.854 alpha=47.97 beta=76.06 gamma=76.06
Element x y z (fractional)
Sm (0.250, 0.250, 0.750)
Sm (0.750, 0.750, 0.250)
Y (0.634, 0.502, 0.666)
Y (0.866, 0.334, 0.498)
Y (0.366, 0.498, 0.334)
Y (0.134, 0.666, 0.502)
Y (0.583, 0.917, 0.417)
Y (0.917, 0.583, 0.083)
Y (0.417, 0.083, 0.583)
Y (0.083, 0.417, 0.917)
Y (0.303, 0.834, 0.997)
Y (0.197, 0.003, 0.166)
Y (0.697, 0.166, 0.003)
Y (0.803, 0.997, 0.834)
Er (0.033, 0.832, 0.668)
Er (0.467, 0.332, 0.168)
Er (0.967, 0.168, 0.332)
Er (0.533, 0.668, 0.832)

# 2
Crystalline BaTiBi3 at its relaxed geometry. Source: Alexandria, functional GGA-PBE.

ΔE_f, eV per formula unit: -2.15
Offset from the most stable computed form, meV per atom: 4

Unit cell a=6.393 b=7.645 c=7.645 alpha=120.00 beta=90.00 gamma=90.00
Element x y z (fractional)
Ba (0.750, 0.667, 0.333)
Ba (0.250, 0.333, 0.667)
Ti (0.000, 0.000, 0.000)
Ti (0.500, 0.000, 0.000)
Bi (0.750, 0.640, 0.820)
Bi (0.250, 0.820, 0.640)
Bi (0.250, 0.360, 0.180)
Bi (0.750, 0.180, 0.360)
Bi (0.250, 0.820, 0.180)
Bi (0.750, 0.180, 0.820)

# 3
Crystalline Na2LiCu at its relaxed geometry. Source: Alexandria, functional GGA-PBE.

ΔE_f, eV per formula unit: 1.21
Offset from the most stable computed form, meV per atom: 82

Unit cell a=8.181 b=8.181 c=6.482 alpha=50.87 beta=50.87 gamma=90.00
Element x y z (fractional)
Na (0.653, 0.125, 0.250)
Na (0.097, 0.625, 0.250)
Na (0.375, 0.347, 0.750)
Na (0.875, 0.903, 0.750)
Cu (0.000, 0.000, 0.000)
Cu (0.750, 0.250, 0.500)
Li (0.500, 0.500, 0.000)
Li (0.250, 0.750, 0.500)

# 4
Crystalline LiCa2HAu at its relaxed geometry. Source: Alexandria, functional GGA-PBE.

Unit cell a=5.009 b=5.009 c=3.904 alpha=90.00 beta=90.00 gamma=90.00
Element x y z (fractional)
H (0.000, 0.000, 0.000)
Ca (0.000, 0.500, 0.000)
Ca (0.500, 0.000, 0.000)
Au (0.500, 0.500, 0.500)
Li (0.000, 0.000, 0.500)

V: 288 162 98 98 (Å³/f.u.)
Total DFT energy (no corrections): -5.778 -4.722 -1.859 -3.003 (eV/atom)